First-principles (GGA-PBE) data for a geometry-optimized Na2InH2 structure, as listed in the Alexandria database.

Lattice parameters (Å, degrees): 7.7606 7.7606 3.0433 90.00 90.00 90.00
Last column: nearest neighbours and their distance in Å.
Fractional positions:
Na 0.3731 0.8731 0.0000  4 H 2.53, 1 Na 2.79
Na 0.8731 0.6269 0.0000  4 H 2.53, 1 Na 2.79
Na 0.6269 0.1269 0.0000  4 H 2.53, 1 Na 2.79
Na 0.1269 0.3731 0.0000  4 H 2.53, 1 Na 2.79
H 0.1336 0.6336 0.5000  4 Na 2.53
H 0.6336 0.8664 0.5000  4 Na 2.53
H 0.8664 0.3664 0.5000  4 Na 2.53
H 0.3664 0.1336 0.5000  4 Na 2.53
In 0.0000 0.0000 0.0000  2 In 3.04, 4 Na 3.06, 8 H 3.39
In 0.5000 0.5000 0.0000  2 In 3.04, 4 Na 3.06, 8 H 3.39

## Properties
density	2.950	g cm⁻³
total moment	0.00	μB per atom
E above lowest polymorph	82	kJ/mol of formula units